Entry 1:
A plane-wave DFT calculation with PBE was carried out for PuMgAu after structural relaxation.

```
3
Lattice="-3.674 -2.938 0.869 -4.358 1.796 0.815 -3.457 -0.537 -3.263" Properties=species:S:1:pos:R:3 pbc="T T T"
Au -2.872 -0.420 -0.395
Mg 0.000 0.000 0.000
Pu -8.617 -1.259 -1.185
```

- SG: No. 216

=====

Entry 2:
A plane-wave DFT calculation with PBE was carried out for MgRe2Au after structural relaxation.

```
4
Lattice="0.000 3.159 3.159 3.159 0.000 3.159 3.159 3.159 0.000" Properties=species:S:1:pos:R:3 pbc="T T T"
Au 3.159 3.159 3.159
Mg 4.739 4.739 4.739
Re 0.000 0.000 0.000
Re 1.580 1.580 1.580
```

- SG: No. 216

=====

Entry 3:
A plane-wave DFT calculation with PBE was carried out for Mg3Re2Au2 after structural relaxation.

```
7
Lattice="3.651 -2.033 -6.262 5.239 -4.544 -2.930 1.351 -5.591 -4.857" Properties=species:S:1:pos:R:3 pbc="T T T"
Au 0.090 -0.107 -0.124
Au 5.053 -6.004 -6.932
Mg 3.788 -4.501 -5.196
Mg 6.397 -7.601 -8.776
Mg 9.031 -10.731 -12.389
Re 2.433 -2.891 -3.338
Re 7.771 -9.233 -10.660
```

- SG: No. 160

=====

Entry 4:
A plane-wave DFT calculation with PBE was carried out for MgScAuSe2S after structural relaxation.

```
12
Lattice="1.859 -6.348 0.000 1.859 6.348 0.000 0.000 0.000 10.596" Properties=species:S:1:pos:R:3 pbc="T T T"
Au 1.859 6.005 2.649
Au 1.859 -6.005 7.947
Mg 1.859 -3.032 2.649
Mg 1.859 3.032 7.947
S 1.859 1.507 2.649
S 1.859 -1.507 7.947
Sc 1.859 0.000 0.000
Sc 1.859 0.000 5.298
Se 1.859 4.480 0.606
Se 1.859 4.480 4.692
Se 1.859 -4.480 5.904
Se 1.859 -4.480 9.990
```

- SG: No. 63

=====

Entry 5:
A plane-wave DFT calculation with PBE was carried out for MgScTeAuS2 after structural relaxation.

```
12
Lattice="1.909 -6.532 0.000 1.909 6.532 0.000 0.000 0.000 11.033" Properties=species:S:1:pos:R:3 pbc="T T T"
Au 1.909 5.486 2.758
Au 1.909 -5.486 8.275
Mg 1.909 -3.054 2.758
Mg 1.909 3.054 8.275
S 1.909 4.832 0.478
S 1.909 4.832 5.039
S 1.909 -4.832 5.994
S 1.909 -4.832 10.555
Sc 1.909 0.000 0.000
Sc 1.909 0.000 5.516
Te 1.909 1.373 2.758
Te 1.909 -1.373 8.275
```

- SG: No. 63

=====

Entry 6:
A plane-wave DFT calculation with PBE was carried out for SmMgAuSe2S after structural relaxation.

```
12
Lattice="1.952 -6.568 0.000 1.952 6.568 0.000 0.000 0.000 10.635" Properties=species:S:1:pos:R:3 pbc="T T T"
Au 1.952 0.246 2.659
Au 1.952 -0.246 7.977
Mg 1.952 -3.366 2.659
Mg 1.952 3.366 7.977
S 1.952 5.105 2.659
S 1.952 -5.105 7.977
Se 1.952 2.050 0.786
Se 1.952 2.050 4.532
Se 1.952 -2.050 6.104
Se 1.952 -2.050 9.849
Sm 0.000 0.000 0.000
Sm 0.000 0.000 5.318
```

- SG: No. 63

=====

Entry 7:
A plane-wave DFT calculation with PBE was carried out for YMgAuSe2S after structural relaxation.

```
12
Lattice="-1.427 6.027 -2.833 -2.035 -6.394 1.167 -4.629 3.104 8.934" Properties=species:S:1:pos:R:3 pbc="T T T"
Au -3.180 -5.378 3.323
Au -4.911 8.114 3.944
Mg -2.740 3.619 0.426
Mg -5.351 -0.882 6.842
S -2.957 -0.809 1.852
S -5.134 3.546 5.416
Se -2.262 -4.267 1.170
Se -3.935 -3.145 4.399
Se -4.156 5.882 2.868
Se -5.829 7.003 6.097
Y -1.731 -0.184 -0.833
Y -4.046 1.368 3.634
```

- SG: No. 63

=====

Entry 8:
A plane-wave DFT calculation with PBE was carried out for SmMgAuS3 after structural relaxation.

```
12
Lattice="1.890 -6.344 0.000 1.890 6.344 0.000 0.000 0.000 10.610" Properties=species:S:1:pos:R:3 pbc="T T T"
Au 1.890 6.081 2.653
Au 1.890 -6.081 7.958
Mg 1.890 -2.936 2.653
Mg 1.890 2.936 7.958
S 1.890 4.428 0.808
S 1.890 1.503 2.653
S 1.890 4.428 4.497
S 1.890 -4.428 6.113
S 1.890 -1.503 7.958
S 1.890 -4.428 9.802
Sm 1.890 0.000 0.000
Sm 1.890 0.000 5.305
```

- SG: No. 63

=====

no.,M_tot (μB/f.u.),total DFT energy (no corrections) (eV for the cell shown)
1,6.454,-18.5
2,0.004,-28.3
3,2.524,-31.2
4,0.005,-55.8
5,0.003,-56.2
6,0.002,-53.9
7,0.010,-57.4
8,0.002,-57.2